[1]
Here is an optimized crystal structure of Mg4SnBi2 from Alexandria. Energies are from GGA-PBE.

extended XYZ file:
```
14
Lattice="6.666 0.000 0.000 0.000 6.135 0.000 -0.632 0.000 9.166" Properties=species:S:1:pos:R:3 pbc="T T T"
Mg 0.064 0.051 2.463
Mg 0.064 3.016 2.463
Mg 1.729 1.534 4.993
Mg 2.804 1.534 1.940
Mg 3.230 4.601 7.226
Mg 4.305 4.601 4.173
Mg 5.970 3.118 6.704
Mg 5.970 6.084 6.704
Sn 1.551 1.534 8.142
Sn 4.482 4.601 1.024
Bi 1.438 4.601 0.059
Bi 1.306 4.601 4.768
Bi 4.727 1.534 4.398
Bi 4.596 1.534 9.107
```

## Properties
Its total energy is -37.21 eV for the cell shown. As for the space-group type: P2_1/m (11).


[2]
Here is an optimized crystal structure of AcErPt from Alexandria. Energies are from GGA-PBE.

extended XYZ file:
```
6
Lattice="4.778 0.000 0.000 -0.011 5.991 0.000 0.000 -1.745 6.472" Properties=species:S:1:pos:R:3 pbc="T T T"
Ac 1.193 0.003 1.774
Ac 3.574 4.244 4.698
Er 1.189 1.360 5.175
Er 3.577 2.887 1.297
Pt 1.188 3.090 2.828
Pt 3.579 1.156 3.643
```

## Properties
The polymorph energy (0 for the lowest one) comes out at 96 meV per atom. As for the space-group type: P-1 (2).


[3]
Here is an optimized crystal structure of CoRe2Ni from Alexandria. Energies are from GGA-PBE.

extended XYZ file:
```
4
Lattice="2.611 -3.763 0.000 2.611 3.763 0.000 0.000 0.000 2.610" Properties=species:S:1:pos:R:3 pbc="T T T"
Co 0.000 0.000 0.000
Re 1.305 1.882 1.305
Re 1.305 -1.882 1.305
Ni 2.611 0.000 0.000
```

## Properties
The polymorph energy (0 for the lowest one) comes out at 116 meV per atom. As for the space-group type: Cmmm (65).


[4]
Here is an optimized crystal structure of Pm3TmMg2 from Alexandria. Energies are from GGA-PBE.

extended XYZ file:
```
6
Lattice="3.784 0.000 0.000 0.000 3.784 0.000 0.000 0.000 12.592" Properties=species:S:1:pos:R:3 pbc="T T T"
Pm 0.000 0.000 0.000
Pm 0.000 0.000 3.935
Pm 0.000 0.000 8.657
Tm 1.892 1.892 6.296
Mg 1.892 1.892 1.963
Mg 1.892 1.892 10.629
```

## Properties
Its total energy is -22.22 eV for the cell shown. As for the space-group type: P4/mmm (123).


[5]
Here is an optimized crystal structure of Mg3TeSe2 from Alexandria. Energies are from GGA-PBE.

extended XYZ file:
```
12
Lattice="3.777 -6.551 0.000 3.777 6.551 0.000 -2.490 0.000 7.103" Properties=species:S:1:pos:R:3 pbc="T T T"
Mg 2.531 5.471 3.552
Mg 1.101 3.410 7.091
Mg 2.355 1.233 3.384
Mg 1.110 -1.233 6.935
Mg 2.346 -3.410 3.539
Mg 3.777 -5.471 0.000
Te 2.422 1.122 6.172
Te 3.667 -1.122 2.620
Se -0.118 1.083 2.610
Se -1.363 -1.083 6.161
Se 3.679 3.331 2.606
Se 2.434 -3.331 6.157
```

## Properties
For the uncorrected formation energy, the calculation gives -25.84 kcal/mol of atoms. As for the space-group type: Cc (9).


[6]
Here is an optimized crystal structure of La3Zn8Ga3 from Alexandria. Energies are from GGA-PBE.

extended XYZ file:
```
14
Lattice="8.135 -2.253 0.000 8.135 2.253 0.000 -5.280 0.000 7.638" Properties=species:S:1:pos:R:3 pbc="T T T"
La 0.000 0.000 0.000
La 3.350 0.000 2.327
La 7.641 0.000 5.311
Zn -2.257 0.000 6.627
Zn 0.189 0.000 3.226
Zn 0.347 0.000 7.492
Zn 6.563 0.000 2.241
Zn 4.428 0.000 5.398
Zn 10.644 0.000 0.146
Zn 10.802 0.000 4.412
Zn 13.248 0.000 1.011
Ga -2.640 0.000 3.819
Ga 1.825 0.000 5.448
Ga 9.166 0.000 2.191
```

## Properties
The polymorph energy (0 for the lowest one) comes out at 0 meV per atom. As for the space-group type: C2/m (12).


[7]
Here is an optimized crystal structure of ThScSi4 from Alexandria. Energies are from GGA-PBE.

extended XYZ file:
```
24
Lattice="7.438 0.000 0.000 0.000 15.770 0.000 0.000 0.000 3.899" Properties=species:S:1:pos:R:3 pbc="T T T"
Th 0.962 2.566 0.000
Th 2.756 10.450 0.000
Th 4.681 5.319 0.000
Th 6.475 13.204 0.000
Sc 0.991 6.500 0.000
Sc 2.728 14.385 0.000
Sc 4.710 1.384 0.000
Sc 6.447 9.269 0.000
Si 0.211 10.848 1.949
Si 0.803 14.907 1.949
Si 1.038 8.576 1.949
Si 1.569 12.675 1.949
Si 2.150 4.790 1.949
Si 2.681 0.691 1.949
Si 2.916 7.022 1.949
Si 3.507 2.964 1.949
Si 3.930 12.806 1.949
Si 4.522 8.747 1.949
Si 4.757 15.078 1.949
Si 5.288 10.979 1.949
Si 5.869 3.095 1.949
Si 6.400 7.193 1.949
Si 6.635 0.863 1.949
Si 7.226 4.921 1.949
```

## Properties
For the uncorrected formation energy, the calculation gives -11.44 kcal/mol of atoms. As for the space-group type: Pbam (55).


[8]
Here is an optimized crystal structure of CaZnPd from Alexandria. Energies are from GGA-PBE.

extended XYZ file:
```
6
Lattice="5.219 -2.175 0.000 5.219 2.175 0.000 -4.554 0.000 5.495" Properties=species:S:1:pos:R:3 pbc="T T T"
Ca -0.827 0.000 1.707
Ca 6.712 0.000 3.789
Zn -0.657 0.000 4.984
Zn 6.541 0.000 0.512
Pd 2.215 0.000 1.563
Pd 3.669 0.000 3.933
```

## Properties
Its total energy is -20.48 eV for the cell shown. As for the space-group type: C2/m (12).


[9]
Here is an optimized crystal structure of DyBeCo from Alexandria. Energies are from GGA-PBE.

extended XYZ file:
```
3
Lattice="3.795 0.000 0.000 -1.898 3.287 0.000 0.000 0.000 3.876" Properties=species:S:1:pos:R:3 pbc="T T T"
Dy 0.000 0.000 0.000
Be 1.898 1.096 1.938
Co 0.000 2.191 1.938
```

## Properties
The polymorph energy (0 for the lowest one) comes out at 68 meV per atom. As for the space-group type: P-6m2 (187).


[10]
Here is an optimized crystal structure of TlAg4S3 from Alexandria. Energies are from GGA-PBE.

extended XYZ file:
```
8
Lattice="4.293 0.000 0.000 0.000 4.293 0.000 0.000 0.000 9.627" Properties=species:S:1:pos:R:3 pbc="T T T"
Tl 0.000 0.000 0.000
Ag 0.000 2.147 3.118
Ag 0.000 2.147 6.509
Ag 2.147 0.000 3.118
Ag 2.147 0.000 6.509
S 0.000 0.000 4.813
S 2.147 2.147 1.724
S 2.147 2.147 7.903
```

## Properties
For the uncorrected formation energy, the calculation gives -0.84 kcal/mol of atoms. As for the space-group type: P4/mmm (123).


[11]
Here is an optimized crystal structure of Ta2AlC from Alexandria. Energies are from GGA-PBE.

extended XYZ file:
```
4
Lattice="0.000 3.062 3.062 3.062 0.000 3.062 3.062 3.062 0.000" Properties=species:S:1:pos:R:3 pbc="T T T"
Ta 1.531 1.531 1.531
Ta 4.593 4.593 4.593
Al 0.000 0.000 0.000
C 3.062 3.062 3.062
```

## Properties
Its total energy is -32.79 eV for the cell shown. As for the space-group type: Fm-3m (225).


[12]
Here is an optimized crystal structure of YCu2Ag from Alexandria. Energies are from GGA-PBE.

extended XYZ file:
```
4
Lattice="4.365 0.000 0.000 0.000 4.365 0.000 0.000 0.000 3.889" Properties=species:S:1:pos:R:3 pbc="T T T"
Y 0.000 0.000 0.000
Cu 0.000 2.182 1.944
Cu 2.182 0.000 1.944
Ag 2.182 2.182 0.000
```

## Properties
The polymorph energy (0 for the lowest one) comes out at 163 meV per atom. As for the space-group type: P4/mmm (123).